## SrCdGe2Ir (PBE)

Data for a geometry-optimized SrCdGe2Ir structure.

The space group is No. 119. As for the total DFT energy (no corrections): -22.2 eV per formula unit. As for the crystal system: tetragonal. As for the offset from the most stable computed form: 194 meV/atom.

POSCAR file:
```
SrCdGe2Ir
1.0
-2.1939 2.1939 5.4862
2.1939 -2.1939 5.4862
2.1939 2.1939 -5.4862
Cd Ge Ir Sr
1 2 1 1
Cartesian
0.0000 0.0000 0.0000
0.0000 2.1939 1.4386
0.0000 2.1939 4.0476
0.0000 0.0000 5.4862
2.1939 0.0000 2.7431
```